1.
# MgScCl2 PBEsol optimized geometry
data_MgScCl2
_chemical_formula_sum 'Mg1 Sc1 Cl2'
_space_group_name_H-M_alt 'P 1'
_space_group_IT_number 1
_space_group_name_Hall 'P 1'
_cell_length_a 3.356
_cell_length_b 3.356
_cell_length_c 9.772
_cell_angle_alpha 80.11
_cell_angle_beta 80.11
_cell_angle_gamma 60.00
loop_
_atom_site_label
_atom_site_fract_x
_atom_site_fract_y
_atom_site_fract_z
Cl1 0.724 0.724 0.828
Mg1 0.500 0.500 0.500
Cl2 0.276 0.276 0.172
Sc1 0.000 0.000 0.000
# DOS(E_F): 0.638 states/eV per atom
# ρ: 2.491 Mg/m³
# formation energy from raw total energies: -1.27 eV/atom
# total moment: 0.0 μB per cell
# E above lowest polymorph: 0.000 eV/f.u.

2.
# MgScCl2 PBEsol optimized geometry
data_MgScCl2
_chemical_formula_sum 'Mg1 Sc1 Cl2'
_space_group_name_H-M_alt 'P 1'
_space_group_IT_number 1
_space_group_name_Hall 'P 1'
_cell_length_a 3.234
_cell_length_b 4.935
_cell_length_c 4.935
_cell_angle_alpha 101.62
_cell_angle_beta 90.00
_cell_angle_gamma 90.00
loop_
_atom_site_label
_atom_site_fract_x
_atom_site_fract_y
_atom_site_fract_z
Cl1 0.000 0.000 0.500
Cl2 0.000 0.500 0.000
Sc1 0.500 0.500 0.500
Mg1 0.500 0.000 0.000
# DOS(E_F): 0.533 states/eV per atom
# ρ: 3.017 Mg/m³
# formation energy from raw total energies: -0.72 eV/atom
# total moment: 0.0 μB per cell
# E above lowest polymorph: 2.175 eV/f.u.

3.
# Mg2ScCl PBEsol optimized geometry
data_Mg2ScCl
_chemical_formula_sum 'Mg2 Sc1 Cl1'
_space_group_name_H-M_alt 'P 1'
_space_group_IT_number 1
_space_group_name_Hall 'P 1'
_cell_length_a 3.230
_cell_length_b 5.526
_cell_length_c 5.842
_cell_angle_alpha 113.34
_cell_angle_beta 106.05
_cell_angle_gamma 90.00
loop_
_atom_site_label
_atom_site_fract_x
_atom_site_fract_y
_atom_site_fract_z
Sc1 0.539 0.484 0.078
Cl1 0.208 0.787 0.417
Mg1 0.770 0.276 0.540
Mg2 0.983 0.953 0.966
# DOS(E_F): 0.681 states/eV per atom
# ρ: 2.347 Mg/m³
# formation energy from raw total energies: -0.45 eV/atom
# total moment: 0.0 μB per cell
# E above lowest polymorph: 0.000 eV/f.u.